[1]
{
  "formula": "Tm3Sc4S8",
  "functional": "PBE",
  "state": "optimized geometry",
  "sg": "C2/m (12)",
  "dft_energy_ev_per_atom": -6.746,
  "lattice": [[7.485, -0.107, -0.153], [-3.653, 6.569, 0.134], [-3.653, -2.155, 6.206]],
  "species": ["Sc", "Sc", "Sc", "Sc", "S", "S", "S", "S", "S", "S", "S", "S", "Tm", "Tm", "Tm"],
  "fractional_positions": [[0.500, 0.000, 0.000], [0.000, 0.000, 0.500], [0.000, 0.000, 0.000], [0.000, 0.500, 0.000], [0.993, 0.245, 0.245], [0.500, 0.753, 0.247], [0.500, 0.247, 0.753], [0.496, 0.245, 0.245], [0.504, 0.755, 0.755], [0.000, 0.752, 0.248], [0.007, 0.755, 0.755], [0.000, 0.248, 0.752], [0.500, 0.500, 0.000], [0.500, 0.500, 0.500], [0.500, 0.000, 0.500]]
}

=====

[2]
{
  "formula": "ErTc2N4",
  "functional": "PBE",
  "state": "optimized geometry",
  "sg": "Cmcm (63)",
  "dft_energy_ev_per_atom": -8.801,
  "lattice": [[3.183, 0.000, 0.000], [-1.591, 4.860, 0.000], [0.000, 0.000, 9.990]],
  "species": ["N", "N", "N", "N", "N", "N", "N", "N", "Er", "Er", "Tc", "Tc", "Tc", "Tc"],
  "fractional_positions": [[0.237, 0.475, 0.607], [0.500, 0.000, 0.500], [0.763, 0.525, 0.107], [0.763, 0.525, 0.393], [0.062, 0.124, 0.250], [0.500, 0.000, 0.000], [0.237, 0.475, 0.893], [0.938, 0.876, 0.750], [0.371, 0.742, 0.250], [0.629, 0.258, 0.750], [0.114, 0.228, 0.436], [0.886, 0.772, 0.936], [0.886, 0.772, 0.564], [0.114, 0.228, 0.064]]
}

=====

[3]
{
  "formula": "Ba2LiMg12Hg3",
  "functional": "PBE",
  "state": "optimized geometry",
  "sg": "R-3m (166)",
  "dft_energy_ev_per_atom": -1.402,
  "e_form_ev_per_fu": 0.56,
  "lattice": [[-3.186, 10.409, -3.180], [-7.623, 7.979, 2.616], [-0.526, 10.585, 4.036]],
  "species": ["Hg", "Hg", "Hg", "Ba", "Ba", "Mg", "Mg", "Mg", "Mg", "Mg", "Mg", "Mg", "Mg", "Mg", "Mg", "Mg", "Mg", "Li"],
  "fractional_positions": [[0.500, 0.000, 0.000], [0.000, 0.500, 0.000], [0.000, 0.000, 0.500], [0.649, 0.649, 0.649], [0.351, 0.351, 0.351], [0.586, 0.194, 0.586], [0.066, 0.066, 0.651], [0.651, 0.066, 0.066], [0.414, 0.414, 0.806], [0.194, 0.586, 0.586], [0.349, 0.934, 0.934], [0.934, 0.934, 0.349], [0.806, 0.414, 0.414], [0.586, 0.586, 0.194], [0.066, 0.651, 0.066], [0.414, 0.806, 0.414], [0.934, 0.349, 0.934], [0.000, 0.000, 0.000]]
}

=====

[4]
{
  "formula": "Mg2Sc3Pd3",
  "functional": "PBE",
  "state": "optimized geometry",
  "sg": "P6_3/mcm (193)",
  "dft_energy_ev_per_atom": -5.416,
  "e_form_ev_per_fu": -5.56,
  "de_polymorph_ev_per_atom": 0.000,
  "lattice": [[-2.016, -3.529, 3.737], [7.277, -0.804, 3.165], [-4.919, 5.668, 2.700]],
  "species": ["Mg", "Mg", "Mg", "Mg", "Pd", "Pd", "Pd", "Pd", "Pd", "Pd", "Sc", "Sc", "Sc", "Sc", "Sc", "Sc"],
  "fractional_positions": [[0.500, 0.667, 0.333], [0.000, 0.667, 0.333], [0.000, 0.333, 0.667], [0.500, 0.333, 0.667], [0.250, 0.603, 0.603], [0.750, 0.000, 0.603], [0.250, 0.397, 0.000], [0.250, 0.000, 0.397], [0.750, 0.603, 0.000], [0.750, 0.397, 0.397], [0.250, 0.000, 0.750], [0.750, 0.000, 0.250], [0.750, 0.750, 0.750], [0.250, 0.250, 0.250], [0.250, 0.750, 0.000], [0.750, 0.250, 0.000]]
}

=====

[5]
{
  "formula": "ScPbW3",
  "functional": "PBE",
  "state": "optimized geometry",
  "sg": "Pm-3m (221)",
  "dft_energy_ev_per_atom": -7.103,
  "e_form_ev_per_fu": 13.38,
  "de_polymorph_ev_per_atom": 0.303,
  "lattice": [[4.995, 0.000, 0.000], [0.000, 4.995, 0.000], [0.000, 0.000, 4.995]],
  "species": ["Pb", "Sc", "W", "W", "W"],
  "fractional_positions": [[0.000, 0.000, 0.000], [0.500, 0.500, 0.500], [0.000, 0.500, 0.000], [0.500, 0.000, 0.000], [0.000, 0.000, 0.500]]
}

=====

[6]
{
  "formula": "RbBaCa2Ir",
  "functional": "PBE",
  "state": "optimized geometry",
  "sg": "P4/mmm (123)",
  "dft_energy_ev_per_atom": -2.079,
  "e_form_ev_per_fu": 5.36,
  "de_polymorph_ev_per_atom": 1.142,
  "lattice": [[-1.514, -1.619, -5.677], [3.536, -4.079, 0.220], [-4.352, -3.654, 2.203]],
  "species": ["Ca", "Ca", "Ba", "Ir", "Rb"],
  "fractional_positions": [[0.500, 0.000, 0.000], [0.000, 0.000, 0.500], [0.500, 0.500, 0.500], [0.000, 0.500, 0.000], [0.000, 0.000, 0.000]]
}

=====

[7]
{
  "formula": "In2SiN",
  "functional": "PBE",
  "state": "optimized geometry",
  "sg": "Pm (6)",
  "dft_energy_ev_per_atom": -4.625,
  "de_polymorph_ev_per_atom": 0.314,
  "lattice": [[7.162, 0.000, -0.004], [0.000, 3.082, 0.000], [-1.582, 0.000, 7.727]],
  "species": ["In", "In", "In", "In", "N", "N", "Si", "Si"],
  "fractional_positions": [[0.394, 0.500, 0.826], [0.694, 0.000, 0.633], [0.802, 0.000, 0.028], [0.487, 0.000, 0.267], [0.577, 0.500, 0.093], [0.083, 0.500, 0.411], [0.116, 0.000, 0.298], [0.034, 0.500, 0.623]]
}

=====

[8]
{
  "formula": "CsRb4U3S12",
  "functional": "PBE",
  "state": "optimized geometry",
  "sg": "Im-3m (229)",
  "dft_energy_ev_per_atom": -5.528,
  "lattice": [[-9.248, -1.446, -0.612], [4.286, -8.052, 2.191], [1.734, 6.377, 6.657]],
  "species": ["S", "S", "S", "S", "S", "S", "S", "S", "S", "S", "S", "S", "U", "U", "U", "Rb", "Rb", "Rb", "Rb", "Cs"],
  "fractional_positions": [[0.719, 0.000, 0.719], [0.250, 0.750, 0.500], [0.719, 0.719, 0.000], [0.281, 0.281, 0.000], [0.281, 0.000, 0.281], [0.750, 0.500, 0.250], [0.750, 0.250, 0.500], [0.000, 0.281, 0.281], [0.250, 0.500, 0.750], [0.000, 0.719, 0.719], [0.500, 0.250, 0.750], [0.500, 0.750, 0.250], [0.000, 0.500, 0.500], [0.500, 0.000, 0.500], [0.500, 0.500, 0.000], [0.500, 0.000, 0.000], [0.500, 0.500, 0.500], [0.000, 0.000, 0.500], [0.000, 0.500, 0.000], [0.000, 0.000, 0.000]]
}

=====

[9]
{
  "formula": "KBaMn2I8",
  "functional": "PBE",
  "state": "optimized geometry",
  "sg": "P-3 (147)",
  "dft_energy_ev_per_atom": -3.657,
  "lattice": [[8.460, 0.000, 0.000], [-4.230, 7.326, 0.000], [0.000, 0.000, 10.560]],
  "species": ["I", "I", "I", "I", "I", "I", "I", "I", "Mn", "Mn", "Ba", "K"],
  "fractional_positions": [[0.836, 0.165, 0.246], [0.333, 0.667, 0.094], [0.670, 0.836, 0.754], [0.164, 0.835, 0.754], [0.165, 0.330, 0.754], [0.835, 0.670, 0.246], [0.330, 0.164, 0.246], [0.667, 0.333, 0.906], [0.333, 0.667, 0.851], [0.667, 0.333, 0.149], [0.000, 0.000, 0.000], [0.000, 0.000, 0.500]]
}

=====

[10]
{
  "formula": "RbU3Cu4Se12",
  "functional": "PBE",
  "state": "optimized geometry",
  "sg": "R32 (155)",
  "dft_energy_ev_per_atom": -5.235,
  "lattice": [[9.026, -0.242, -0.337], [-2.410, 8.702, -0.337], [-2.410, -3.081, 8.145]],
  "species": ["Se", "Se", "Se", "Se", "Se", "Se", "Se", "Se", "Se", "Se", "Se", "Se", "U", "U", "U", "Cu", "Cu", "Cu", "Cu", "Rb"],
  "fractional_positions": [[0.045, 0.635, 0.752], [0.661, 0.500, 0.339], [0.365, 0.955, 0.248], [0.752, 0.045, 0.635], [0.635, 0.752, 0.045], [0.097, 0.903, 0.500], [0.955, 0.248, 0.365], [0.903, 0.500, 0.097], [0.500, 0.339, 0.661], [0.248, 0.365, 0.955], [0.339, 0.661, 0.500], [0.500, 0.097, 0.903], [0.437, 0.000, 0.563], [0.563, 0.437, 0.000], [0.000, 0.563, 0.437], [0.500, 0.500, 0.500], [0.500, 0.934, 0.066], [0.934, 0.066, 0.500], [0.066, 0.500, 0.934], [0.000, 0.000, 0.000]]
}

=====

[11]
{
  "formula": "YBeAl2",
  "functional": "PBE",
  "state": "optimized geometry",
  "sg": "Immm (71)",
  "dft_energy_ev_per_atom": -4.387,
  "e_form_ev_per_fu": 0.13,
  "lattice": [[-1.337, -4.268, -3.528], [-0.546, -5.630, -0.673], [-4.263, -1.470, 0.480]],
  "species": ["Al", "Al", "Be", "Y"],
  "fractional_positions": [[0.466, 0.466, 0.533], [0.034, 0.034, 0.967], [0.750, 0.750, 0.750], [0.250, 0.250, 0.250]]
}

=====

[12]
{
  "formula": "Sr2MgCd4Sn3",
  "functional": "PBE",
  "state": "optimized geometry",
  "sg": "P-4m2 (115)",
  "dft_energy_ev_per_atom": -2.402,
  "e_form_ev_per_fu": -3.39,
  "lattice": [[4.698, 0.000, 0.000], [0.000, 4.698, 0.000], [0.000, 0.000, 12.724]],
  "species": ["Cd", "Cd", "Cd", "Cd", "Sn", "Sn", "Sn", "Sr", "Sr", "Mg"],
  "fractional_positions": [[0.000, 0.000, 0.000], [0.500, 0.000, 0.638], [0.000, 0.500, 0.362], [0.500, 0.500, 0.000], [0.500, 0.000, 0.860], [0.000, 0.500, 0.140], [0.000, 0.000, 0.500], [0.500, 0.000, 0.242], [0.000, 0.500, 0.758], [0.500, 0.500, 0.500]]
}

=====

[13]
{
  "formula": "GaSiSb2I",
  "functional": "PBE",
  "state": "optimized geometry",
  "sg": "P4/mmm (123)",
  "dft_energy_ev_per_atom": -3.124,
  "de_polymorph_ev_per_atom": 0.000,
  "lattice": [[5.278, 0.000, 0.000], [0.000, 5.278, 0.000], [0.000, 0.000, 5.759]],
  "species": ["Si", "Sb", "Sb", "Ga", "I"],
  "fractional_positions": [[0.000, 0.000, 0.000], [0.000, 0.500, 0.000], [0.500, 0.000, 0.000], [0.500, 0.500, 0.500], [0.000, 0.000, 0.500]]
}

=====

[14]
{
  "formula": "Ho2Th5Sc",
  "functional": "PBE",
  "state": "optimized geometry",
  "sg": "I4mm (107)",
  "dft_energy_ev_per_atom": -6.514,
  "e_form_ev_per_fu": 0.48,
  "lattice": [[6.174, -0.240, -3.423], [-3.977, 5.837, -0.210], [-0.162, 0.240, 7.057]],
  "species": ["Sc", "Ho", "Ho", "Th", "Th", "Th", "Th", "Th"],
  "fractional_positions": [[0.000, 0.222, 0.222], [0.500, 0.722, 0.222], [0.500, 0.222, 0.722], [0.000, 0.222, 0.722], [0.000, 0.722, 0.722], [0.000, 0.722, 0.222], [0.500, 0.722, 0.722], [0.500, 0.222, 0.222]]
}

=====

[15]
{
  "formula": "SrTl3Ir",
  "functional": "PBE",
  "state": "optimized geometry",
  "sg": "Pm-3m (221)",
  "dft_energy_ev_per_atom": -1.934,
  "e_form_ev_per_fu": 7.97,
  "de_polymorph_ev_per_atom": 1.565,
  "lattice": [[6.123, 0.000, 0.000], [0.000, 6.123, 0.000], [0.000, 0.000, 6.123]],
  "species": ["Tl", "Tl", "Tl", "Sr", "Ir"],
  "fractional_positions": [[0.500, 0.000, 0.000], [0.000, 0.500, 0.000], [0.000, 0.000, 0.500], [0.000, 0.000, 0.000], [0.500, 0.500, 0.500]]
}

=====

[16]
{
  "formula": "Ag3Os",
  "functional": "PBE",
  "state": "optimized geometry",
  "sg": "P6_3/mmc (194)",
  "dft_energy_ev_per_atom": -4.121,
  "e_form_ev_per_fu": 3.30,
  "de_polymorph_ev_per_atom": 0.424,
  "lattice": [[2.902, -5.027, 0.000], [2.902, 5.027, 0.000], [0.000, 0.000, 4.663]],
  "species": ["Ag", "Ag", "Ag", "Ag", "Ag", "Ag", "Os", "Os"],
  "fractional_positions": [[0.338, 0.169, 0.250], [0.831, 0.662, 0.250], [0.169, 0.338, 0.750], [0.169, 0.831, 0.750], [0.662, 0.831, 0.750], [0.831, 0.169, 0.250], [0.667, 0.333, 0.750], [0.333, 0.667, 0.250]]
}

=====

[17]
{
  "formula": "KRbBa2Tl",
  "functional": "PBE",
  "state": "optimized geometry",
  "sg": "P4/mmm (123)",
  "dft_energy_ev_per_atom": -1.659,
  "e_form_ev_per_fu": -0.02,
  "de_polymorph_ev_per_atom": 0.016,
  "lattice": [[-0.705, -3.052, 6.077], [6.581, -1.847, -0.164], [1.851, 6.298, 3.378]],
  "species": ["Rb", "K", "Ba", "Ba", "Tl"],
  "fractional_positions": [[0.000, 0.000, 0.500], [0.500, 0.500, 0.500], [0.000, 0.500, 0.000], [0.500, 0.000, 0.000], [0.000, 0.000, 0.000]]
}

=====

[18]
{
  "formula": "La2TbDy5",
  "functional": "PBE",
  "state": "optimized geometry",
  "sg": "I4/mmm (139)",
  "dft_energy_ev_per_atom": -4.659,
  "e_form_ev_per_fu": 0.22,
  "lattice": [[-3.558, -3.131, -1.909], [3.121, -3.982, 0.715], [-3.584, 2.238, 9.846]],
  "species": ["La", "La", "Tb", "Dy", "Dy", "Dy", "Dy", "Dy"],
  "fractional_positions": [[0.250, 0.250, 0.500], [0.750, 0.750, 0.500], [0.000, 0.000, 0.000], [0.622, 0.122, 0.244], [0.500, 0.500, 0.000], [0.122, 0.622, 0.244], [0.878, 0.378, 0.756], [0.378, 0.878, 0.756]]
}

=====

[19]
{
  "formula": "Ac2Ge3Pd9",
  "functional": "PBE",
  "state": "optimized geometry",
  "sg": "C2/c (15)",
  "dft_energy_ev_per_atom": -5.610,
  "e_form_ev_per_fu": -9.73,
  "lattice": [[7.343, -0.063, -3.045], [-4.350, 6.653, -0.014], [0.153, 0.115, 10.489]],
  "species": ["Ge", "Ge", "Ge", "Ge", "Ge", "Ge", "Pd", "Pd", "Pd", "Pd", "Pd", "Pd", "Pd", "Pd", "Pd", "Pd", "Pd", "Pd", "Pd", "Pd", "Pd", "Pd", "Pd", "Pd", "Ac", "Ac", "Ac", "Ac"],
  "fractional_positions": [[0.500, 0.500, 0.500], [0.158, 0.827, 0.500], [0.827, 0.658, 0.000], [0.173, 0.342, 0.000], [0.842, 0.173, 0.500], [0.500, 0.000, 0.000], [0.560, 0.366, 0.078], [0.325, 0.285, 0.247], [0.440, 0.634, 0.922], [0.538, 0.078, 0.253], [0.211, 0.517, 0.578], [0.462, 0.922, 0.747], [0.478, 0.819, 0.471], [0.152, 0.993, 0.971], [0.789, 0.483, 0.422], [0.848, 0.007, 0.029], [0.878, 0.128, 0.750], [0.522, 0.181, 0.529], [0.675, 0.715, 0.753], [0.120, 0.144, 0.433], [0.211, 0.687, 0.067], [0.122, 0.872, 0.250], [0.880, 0.856, 0.567], [0.789, 0.313, 0.933], [0.013, 0.418, 0.253], [0.987, 0.582, 0.747], [0.335, 0.240, 0.753], [0.665, 0.760, 0.247]]
}

=====

[20]
{
  "formula": "ScNbSe2N",
  "functional": "PBE",
  "state": "optimized geometry",
  "sg": "P4/mmm (123)",
  "dft_energy_ev_per_atom": -6.043,
  "de_polymorph_ev_per_atom": 0.759,
  "lattice": [[-4.025, -3.102, 0.009], [0.245, -0.305, 5.066], [-2.368, 3.073, 0.299]],
  "species": ["N", "Nb", "Se", "Se", "Sc"],
  "fractional_positions": [[0.000, 0.000, 0.500], [0.500, 0.500, 0.500], [0.000, 0.500, 0.000], [0.500, 0.000, 0.000], [0.000, 0.000, 0.000]]
}